[1]
Entry from Alexandria: a relaxed Zr2ZnBr crystal (GGA-PBE).

Cell lengths 5.738, 5.738, 5.738 Å; angles 138.31, 138.31, 60.43 degrees
Fractional coordinates of all 4 atoms:
Zr1 0.000 0.000 0.000
Zr2 0.750 0.250 0.500
Zn1 0.500 0.500 0.000
Br1 0.250 0.750 0.500

Calculated values
- space-group type = I-4m2 (119)
- crystal system = tetragonal
- E_form (uncorrected) (eV per atom) = 0.0906
- energy above the lowest structure with this stoichiometry (eV per atom) = 0.396
- density of states at the Fermi level (states/eV/cell) = 4.977

[2]
Entry from Alexandria: a relaxed AuCl3 crystal (GGA-PBE).

Cell lengths 6.628, 10.116, 5.699 Å; angles 90.00, 90.00, 90.00 degrees
Fractional coordinates of all 16 atoms:
Au1 0.201 0.250 0.055
Au2 0.299 0.750 0.555
Au3 0.701 0.250 0.445
Au4 0.799 0.750 0.945
Cl1 0.023 0.088 0.332
Cl2 0.023 0.412 0.332
Cl3 0.113 0.750 0.164
Cl4 0.387 0.250 0.664
Cl5 0.477 0.588 0.832
Cl6 0.477 0.912 0.832
Cl7 0.523 0.088 0.168
Cl8 0.523 0.412 0.168
Cl9 0.613 0.750 0.336
Cl10 0.887 0.250 0.836
Cl11 0.977 0.588 0.668
Cl12 0.977 0.912 0.668

Calculated values
- space-group type = Pnma (62)
- crystal system = orthorhombic
- E_form (uncorrected) (eV per atom) = 0.0947
- density of states at the Fermi level (states/eV/cell) = 3.347

[3]
Entry from Alexandria: a relaxed Zr2BiPd2 crystal (GGA-PBE).

Cell lengths 7.969, 7.969, 3.356 Å; angles 90.00, 90.00, 90.00 degrees
Fractional coordinates of all 10 atoms:
Zr1 0.159 0.341 0.000
Zr2 0.341 0.841 0.000
Zr3 0.659 0.159 0.000
Zr4 0.841 0.659 0.000
Bi1 0.000 0.000 0.000
Bi2 0.500 0.500 0.000
Pd1 0.128 0.628 0.500
Pd2 0.372 0.128 0.500
Pd3 0.628 0.872 0.500
Pd4 0.872 0.372 0.500

Calculated values
- space-group type = P4/mbm (127)
- crystal system = tetragonal
- calculated formation energy (meV per atom) = -412
- energy above the lowest structure with this stoichiometry (eV per atom) = 0.123
- density of states at the Fermi level (states/eV/cell) = 5.476